[1]
Entry from Alexandria via LeMat-Bulk: a relaxed KHgTe crystal (GGA-PBE).

Summary:
E above lowest polymorph	48	meV/atom
total moment	0.0	μB/cell
total energy	-1.934	eV per atom
formation energy (no corrections)	-40.5	kJ per mole of atoms

```
data_KHgTe
_chemical_formula_sum 'K2 Hg2 Te2'
_cell_length_a 3.3870
_cell_length_b 5.0769
_cell_length_c 11.4799
_cell_angle_alpha 90.00
_cell_angle_beta 90.00
_cell_angle_gamma 90.00
_symmetry_space_group_name_H-M 'I m m 2'
_symmetry_Int_Tables_number 44
loop_
_symmetry_equiv_pos_as_xyz
'x,y,z'
'-x,-y,z'
'-x,y,z'
'x,-y,z'
'x+1/2,y+1/2,z+1/2'
'-x+1/2,-y+1/2,z+1/2'
'-x+1/2,y+1/2,z+1/2'
'x+1/2,-y+1/2,z+1/2'
loop_
_atom_site_label
_atom_site_fract_x
_atom_site_fract_y
_atom_site_fract_z
K1 0.0000 0.0000 0.0000
Hg1 0.0000 0.0000 0.3325
Te1 0.0000 0.0000 0.6704
```

[2]
Entry from Alexandria via LeMat-Bulk: a relaxed TeIrBr2 crystal (GGA-PBE).

Summary:
total moment	0.0	μB/cell
total energy	-2.680	eV per atom
formation energy (no corrections)	111.6	kJ per mole of atoms

```
data_TeIrBr2
_chemical_formula_sum 'Te4 Ir4 Br8'
_cell_length_a 7.0566
_cell_length_b 7.0566
_cell_length_c 7.0566
_cell_angle_alpha 90.00
_cell_angle_beta 90.00
_cell_angle_gamma 90.00
_symmetry_space_group_name_H-M 'F m -3 m'
_symmetry_Int_Tables_number 225
_symmetry_space_group_name_Hall '-F 4 2 3'
loop_
_atom_site_label
_atom_site_fract_x
_atom_site_fract_y
_atom_site_fract_z
Te1 0.0000 0.0000 0.0000
Ir1 0.0000 0.0000 0.5000
Br1 0.2500 0.2500 0.2500
```

[3]
Entry from Alexandria via LeMat-Bulk: a relaxed GdPaFeRu crystal (GGA-PBE).

Summary:
E_form	-0.1004	eV/atom
total moment	30.3	μB/cell
total energy	-10.429	eV per atom

```
data_GdPaFeRu
_chemical_formula_sum 'Gd4 Pa4 Fe4 Ru4'
_cell_length_a 6.7948
_cell_length_b 6.7948
_cell_length_c 6.7948
_cell_angle_alpha 90.00
_cell_angle_beta 90.00
_cell_angle_gamma 90.00
_symmetry_space_group_name_H-M 'F -4 3 m'
_symmetry_Int_Tables_number 216
_symmetry_space_group_name_Hall 'F -4 2 3'
loop_
_atom_site_label
_atom_site_fract_x
_atom_site_fract_y
_atom_site_fract_z
Gd1 0.0000 0.0000 0.0000
Pa1 0.0000 0.0000 0.5000
Fe1 0.2500 0.2500 0.2500
Ru1 0.2500 0.2500 0.7500
```

[4]
Entry from Alexandria via LeMat-Bulk: a relaxed Dy3Co5N12 crystal (GGA-PBE).

Summary:
total moment	0.0	μB/cell
total energy	-7.418	eV per atom
formation energy (no corrections)	4.2	kJ per mole of atoms

```
data_Dy3Co5N12
_chemical_formula_sum 'Dy24 Co40 N96'
_cell_length_a 12.0672
_cell_length_b 12.0672
_cell_length_c 12.0672
_cell_angle_alpha 90.00
_cell_angle_beta 90.00
_cell_angle_gamma 90.00
_symmetry_space_group_name_H-M 'I a -3 d'
_symmetry_Int_Tables_number 230
_symmetry_space_group_name_Hall '-I 4bd 2c 3'
loop_
_atom_site_label
_atom_site_fract_x
_atom_site_fract_y
_atom_site_fract_z
Dy1 0.0000 0.2500 0.1250
Co1 0.0000 0.0000 0.0000
Co2 0.0000 0.2500 0.3750
N1 0.0370 0.0520 0.6478
```

[5]
Entry from Alexandria via LeMat-Bulk: a relaxed LiLa12Ag6 crystal (GGA-PBE).

Summary:
E_form	-0.0668	eV/atom
total moment	0.0	μB/cell
total energy	-4.180	eV per atom

```
data_LiLa12Ag6
_chemical_formula_sum 'Li3 La36 Ag18'
_cell_length_a 11.4736
_cell_length_b 11.4736
_cell_length_c 14.5045
_cell_angle_alpha 90.00
_cell_angle_beta 90.00
_cell_angle_gamma 120.00
_symmetry_space_group_name_H-M 'R -3'
_symmetry_Int_Tables_number 148
_symmetry_space_group_name_Hall '-R 3'
loop_
_atom_site_label
_atom_site_fract_x
_atom_site_fract_y
_atom_site_fract_z
Li1 0.0000 0.0000 0.0000
La1 0.0350 0.8380 0.8182
La2 0.0496 0.2134 0.3988
Ag1 0.0491 0.5988 0.7044
```

[6]
Entry from Alexandria via LeMat-Bulk: a relaxed LaPm2Er4 crystal (GGA-PBE).

Summary:
E_form	0.0766	eV/atom
total moment	0.0	μB/cell
total energy	-4.592	eV per atom

```
data_LaPm2Er4
_chemical_formula_sum 'La2 Pm4 Er8'
_cell_length_a 6.0440
_cell_length_b 8.5904
_cell_length_c 9.9224
_cell_angle_alpha 82.76
_cell_angle_beta 72.30
_cell_angle_gamma 69.42
_symmetry_space_group_name_H-M 'P 1'
_symmetry_Int_Tables_number 1
loop_
_symmetry_equiv_pos_as_xyz
'x,y,z'
loop_
_atom_site_label
_atom_site_fract_x
_atom_site_fract_y
_atom_site_fract_z
La1 0.0000 0.0000 0.0000
La2 0.4268 0.8682 0.2749
Pm1 0.0639 0.9342 0.6376
Pm2 0.3908 0.5005 0.5015
Pm3 0.7577 0.4343 0.1374
Pm4 0.8218 0.3684 0.7735
Er1 0.0791 0.2889 0.4132
Er2 0.1036 0.6407 0.2164
Er3 0.2103 0.5791 0.8617
Er4 0.3899 0.2275 0.0590
Er5 0.4284 0.1458 0.7173
Er6 0.6132 0.7850 0.9094
Er7 0.7183 0.7232 0.5578
Er8 0.7347 0.0834 0.3653
```